1.
Computed, not measured: crystalline LaPu4S6 at its relaxed geometry at the PBE level of DFT.

Symmetry: Cmcm
Energy relative to the elements, uncorrected in eV/atom: -1.8347
Crystal system: orthorhombic

Lattice parameters (Å, degrees): 6.8783 6.8783 20.0453 90.00 90.00 146.44
Closest atoms and distances in Å follow each position.
Atoms (fractional coordinates):
La  0.1540  0.8460  0.7500  6 S 2.86-2.99
La  0.8460  0.1540  0.2500  6 S 2.86-2.99
Pu  0.0949  0.9051  0.1291  6 S 2.73-2.87
Pu  0.0949  0.9051  0.3709  6 S 2.73-2.87
Pu  0.3631  0.6369  0.0427  6 S 2.75-2.83
Pu  0.3631  0.6369  0.4573  6 S 2.75-2.83
Pu  0.6369  0.3631  0.5427  6 S 2.75-2.83
Pu  0.6369  0.3631  0.9573  6 S 2.75-2.83
Pu  0.9051  0.0949  0.6291  6 S 2.73-2.87
Pu  0.9051  0.0949  0.8709  6 S 2.73-2.87
S  0.0000  0.0000  0.0000  6 Pu 2.82-2.87
S  0.0000  0.0000  0.5000  6 Pu 2.82-2.87
S  0.1897  0.8103  0.2500  2 Pu 2.73, 2 La 2.86
S  0.2718  0.7282  0.5851  5 Pu 2.79-2.83
S  0.2718  0.7282  0.9149  5 Pu 2.79-2.83
S  0.4566  0.5434  0.1655  3 Pu 2.75-2.79, 2 La 2.99
S  0.4566  0.5434  0.3345  3 Pu 2.75-2.79, 2 La 2.99
S  0.5434  0.4566  0.6655  3 Pu 2.75-2.79, 2 La 2.99
S  0.5434  0.4566  0.8345  3 Pu 2.75-2.79, 2 La 2.99
S  0.7282  0.2718  0.0851  5 Pu 2.79-2.83
S  0.7282  0.2718  0.4149  5 Pu 2.79-2.83
S  0.8103  0.1897  0.7500  2 Pu 2.73, 2 La 2.86


2.
Computed, not measured: crystalline Ca2MgNi at its relaxed geometry at the PBE level of DFT.

Symmetry: I-4m2
Formation enthalpy at 0 K in meV/atom: 143
Crystal system: tetragonal

Lattice parameters (Å, degrees): 4.5568 4.5568 9.4881 90.00 90.00 90.00
Closest atoms and distances in Å follow each position.
Atoms (fractional coordinates):
Ca  0.0000  0.0000  0.0000  4 Mg 3.22, 4 Ni 3.29, 4 Ca 3.29
Ca  0.0000  0.5000  0.2500  4 Ni 3.22, 4 Ca 3.29, 4 Mg 3.29
Ca  0.5000  0.0000  0.7500  4 Ni 3.22, 4 Mg 3.29, 4 Ca 3.29
Ca  0.5000  0.5000  0.5000  4 Mg 3.22, 4 Ni 3.29, 4 Ca 3.29
Mg  0.0000  0.0000  0.5000  8 Ca 3.22-3.29, 4 Ni 3.29
Mg  0.5000  0.5000  0.0000  8 Ca 3.22-3.29, 4 Ni 3.29
Ni  0.0000  0.5000  0.7500  8 Ca 3.22-3.29, 4 Mg 3.29
Ni  0.5000  0.0000  0.2500  8 Ca 3.22-3.29, 4 Mg 3.29


3.
Computed, not measured: crystalline SrBSCl2 at its relaxed geometry at the PBE level of DFT.

Symmetry: P4/mmm
Energy relative to the elements, uncorrected in eV/atom: 0.1613
Crystal system: tetragonal
Offset from the most stable computed form in meV/atom: 867

Lattice parameters (Å, degrees): 5.5782 5.5782 5.9334 90.00 90.00 90.00
Closest atoms and distances in Å follow each position.
Atoms (fractional coordinates):
Sr  0.0000  0.0000  0.0000  4 Cl 2.79, 2 S 2.97
B  0.5000  0.5000  0.5000  4 S 3.94, 8 Cl 4.07
S  0.0000  0.0000  0.5000  2 Sr 2.97
Cl  0.0000  0.5000  0.0000  2 Sr 2.79
Cl  0.5000  0.0000  0.0000  2 Sr 2.79


4.
Computed, not measured: crystalline Mg4Si3 at its relaxed geometry at the PBE level of DFT.

Symmetry: P1
Energy relative to the elements, uncorrected in eV/atom: 0.0276
Crystal system: triclinic
Offset from the most stable computed form in meV/atom: 60

Lattice parameters (Å, degrees): 5.8444 6.0905 8.1850 71.00 84.04 82.13
Closest atoms and distances in Å follow each position.
Atoms (fractional coordinates):
Mg  0.0000  0.0000  0.0000  5 Si 2.75-2.97, 3 Mg 3.04-3.07
Mg  0.0147  0.1354  0.3322  5 Si 2.76-3.07, 3 Mg 3.02-3.08
Mg  0.2237  0.8407  0.6669  3 Si 2.69-2.75, 1 Mg 3.01
Mg  0.2394  0.5077  0.0301  3 Si 2.74-3.00, 1 Mg 3.01
Mg  0.4909  0.3607  0.4667  6 Si 2.73-3.06
Mg  0.5088  0.0418  0.8901  5 Si 2.74-3.03, 2 Mg 3.04-3.05
Mg  0.7378  0.5994  0.7787  4 Si 2.73-3.02
Mg  0.9767  0.6044  0.4048  5 Si 2.78-2.86, 1 Mg 3.08
Si  0.1677  0.3776  0.7337  1 Si 2.48, 4 Mg 2.73-2.76
Si  0.3739  0.8015  0.2390  2 Si 2.44-2.56
Si  0.5880  0.9140  0.4343  2 Si 2.44-2.45, 1 Mg 2.69
Si  0.6231  0.2059  0.1464  2 Si 2.45-2.46, 2 Mg 2.74-2.75
Si  0.7334  0.5887  0.1275  2 Si 2.46-2.56
Si  0.8733  0.1820  0.6525  1 Si 2.48, 4 Mg 2.69-2.76


Number 1: electronic total energy -214.40 eV/cell. Number 2: electronic total energy -21.61 eV/cell. Number 3: electronic total energy -15.37 eV/cell. Number 4: electronic total energy -44.91 eV/cell.